No. 1
18
Lattice="6.318 0.000 0.000 0.000 7.544 0.000 -3.159 0.000 8.246" Properties=species:S:1:pos:R:3 comment="GGA-PBE Ac2Sb3Rh4, optimized geometry" formation_energy_uncorrected_ev_per_atom=-0.75 space_group="Cmce (64)" pbc="T T T"
Rh 1.579 5.658 7.067
Rh -1.579 5.658 7.067
Sb -1.579 5.658 4.362
Rh 1.579 1.886 1.179
Ac 3.159 6.912 1.703
Ac 0.000 4.404 1.703
Rh 0.000 3.661 5.404
Sb 0.000 0.000 0.000
Rh 3.159 3.883 2.842
Sb 1.579 5.658 4.362
Rh 4.738 1.886 1.179
Sb 1.579 1.886 3.884
Sb 4.738 1.886 3.884
Ac 3.159 3.140 6.543
Rh 0.000 7.433 2.842
Rh 3.159 0.111 5.404
Sb 3.159 3.772 0.000
Ac 0.000 0.632 6.543

=====

No. 2
5
Lattice="-1.852 -2.534 3.628 1.165 -4.391 -2.472 4.291 -0.068 2.143" Properties=species:S:1:pos:R:3 comment="GGA-PBE Tc2SbTeMo, optimized geometry" formation_energy_uncorrected_ev_per_atom=1.34 space_group="P4/mmm (123)" pbc="T T T"
Tc 2.146 -0.034 1.072
Tc -0.926 -1.267 1.814
Mo 0.000 0.000 0.000
Te 1.802 -3.496 1.650
Sb 0.583 -2.195 -1.236

=====

What did the second record say?
5
Lattice="-1.852 -2.534 3.628 1.165 -4.391 -2.472 4.291 -0.068 2.143" Properties=species:S:1:pos:R:3 comment="GGA-PBE Tc2SbTeMo, optimized geometry" formation_energy_uncorrected_ev_per_atom=1.34 space_group="P4/mmm (123)" pbc="T T T"
Tc 2.146 -0.034 1.072
Tc -0.926 -1.267 1.814
Mo 0.000 0.000 0.000
Te 1.802 -3.496 1.650
Sb 0.583 -2.195 -1.236